No. 1
Here is a geometry-optimized SnBr structure from Alexandria. Energies are from PBE.

Calculated values
M_tot = 0.00 μB per formula unit
D(E_F) = 0.89 states/eV/cell
E_tot = -3.18 eV per atom
Mass density = 5.36 g/cm³

Lattice parameters (Å, degrees): 6.269 6.269 3.533 106.17 106.17 100.29
Sites, in units of the cell vectors:
Sn: 0.000 0.000 0.000
Sn: 0.608 0.608 0.112
Br: 0.120 0.555 0.841
Br: 0.555 0.120 0.841

***

No. 2
Here is a geometry-optimized RbMgFe2 structure from Alexandria. Energies are from PBE.

Calculated values
M_tot = 5.19 μB per formula unit
D(E_F) = 15.60 states/eV/cell
E_tot = -3.78 eV per atom
Formation energy from the elements = 105.1 kJ/mol of atoms
Mass density = 3.22 g/cm³

Lattice parameters (Å, degrees): 10.411 10.411 10.411 153.24 153.24 38.20
Sites, in units of the cell vectors:
Rb: 0.375 0.625 0.750
Rb: 0.625 0.375 0.250
Mg: 0.125 0.875 0.250
Mg: 0.875 0.125 0.750
Fe: 0.000 0.000 0.000
Fe: 0.000 0.000 0.500
Fe: 0.000 0.500 0.000
Fe: 0.500 0.000 0.500

***

No. 3
Here is a geometry-optimized MgScTe3 structure from Alexandria. Energies are from PBE.

Calculated values
M_tot = 0.00 μB per formula unit
D(E_F) = 4.03 states/eV/cell
E_tot = -4.31 eV per atom
Mass density = 4.53 g/cm³

Lattice parameters (Å, degrees): 6.412 4.340 12.220 90.00 103.16 90.00
Sites, in units of the cell vectors:
Mg: 0.000 0.250 0.117
Mg: 0.000 0.750 0.883
Sc: 0.487 0.250 0.661
Sc: 0.513 0.750 0.339
Te: 0.220 0.750 0.711
Te: 0.270 0.750 0.106
Te: 0.272 0.250 0.420
Te: 0.728 0.750 0.580
Te: 0.730 0.250 0.894
Te: 0.780 0.250 0.289